The following is a DFT calculation (PBE-GGA) of a geometry-optimized K2YMgF6 structure.

Cell: 6.1554 6.0994 6.5144 Å, 57.96 57.79 89.22°
With the nearest neighbours (Å) after each atom.
Positions (direct):
1 K 0.2688 0.7315 0.5032  6 F 2.78-2.92
2 K 0.7312 0.2685 0.4968  6 F 2.78-2.92
3 Y 0.5000 0.5000 0.0000  6 F 2.23-2.33
4 Mg 0.0000 0.0000 0.0000  6 F 2.05-2.07
5 F 0.2377 0.7559 0.0003  1 Mg 2.07, 1 Y 2.23
6 F 0.7417 0.7401 0.0454  1 Mg 2.05
7 F 0.2579 0.2609 0.5272  1 Mg 2.05
8 F 0.7623 0.2441 0.9997  1 Mg 2.07, 1 Y 2.23
9 F 0.2583 0.2599 0.9546  1 Mg 2.05
10 F 0.7421 0.7391 0.4728  1 Mg 2.05

Results
- crystal system = triclinic
- spin magnetization (μB per formula unit) = 0.6
- energy (eV for the cell shown) = -53.09

***

The following is a DFT calculation (PBE-GGA) of a geometry-optimized BePdN2F structure.

Cell: 3.7061 3.7061 3.2692 Å, 90.00 90.00 90.00°
With the nearest neighbours (Å) after each atom.
Positions (direct):
1 Be 0.0000 0.0000 0.0000  2 F 1.63
2 N 0.0000 0.5000 0.0000  2 Be 1.85
3 N 0.5000 0.0000 0.0000  2 Be 1.85
4 Pd 0.5000 0.5000 0.5000  8 N 2.47, 4 F 2.62
5 F 0.0000 0.0000 0.5000  2 Be 1.63

Results
- crystal system = tetragonal
- spin magnetization (μB per formula unit) = 0.5
- energy (eV for the cell shown) = -25.02
- polymorph energy (0 for the lowest one) (meV/atom) = 0

***

The following is a DFT calculation (PBE-GGA) of a geometry-optimized TiZn2Tc2 structure.

Cell: 7.1902 7.1902 3.0061 Å, 90.00 90.00 90.00°
With the nearest neighbours (Å) after each atom.
Positions (direct):
1 Zn 0.1792 0.6792 0.5000  6 Tc 2.57-2.64
2 Zn 0.6792 0.8208 0.5000  6 Tc 2.57-2.64
3 Zn 0.8208 0.3208 0.5000  6 Tc 2.57-2.64
4 Zn 0.3208 0.1792 0.5000  6 Tc 2.57-2.64
5 Tc 0.3838 0.8838 0.0000  1 Tc 2.36, 6 Zn 2.57-2.64
6 Tc 0.8838 0.6162 0.0000  1 Tc 2.36, 6 Zn 2.57-2.64
7 Tc 0.6162 0.1162 0.0000  1 Tc 2.36, 6 Zn 2.57-2.64
8 Tc 0.1162 0.3838 0.0000  1 Tc 2.36, 6 Zn 2.57-2.64
9 Ti 0.0000 0.0000 0.0000  4 Tc 2.88, 2 Ti 3.01, 8 Zn 3.04
10 Ti 0.5000 0.5000 0.0000  4 Tc 2.88, 2 Ti 3.01, 8 Zn 3.04

Results
- crystal system = tetragonal
- spin magnetization (μB per formula unit) = 0.0
- energy of formation from the pure elements (eV/atom) = 0.1792
- energy (eV for the cell shown) = -60.56
- polymorph energy (0 for the lowest one) (meV/atom) = 133

***

The following is a DFT calculation (PBE-GGA) of a geometry-optimized ZnReMo2 structure.

Cell: 4.3581 2.6712 5.4183 Å, 75.43 90.00 90.00°
With the nearest neighbours (Å) after each atom.
Positions (direct):
1 Mo 0.0000 0.0266 0.9979  4 Mo 2.65-2.76, 2 Re 2.72, 2 Zn 2.76
2 Mo 0.0000 0.4734 0.5021  4 Mo 2.65-2.76, 2 Re 2.72, 2 Zn 2.76
3 Re 0.5000 0.2500 0.2500  2 Re 2.67, 2 Zn 2.70, 4 Mo 2.72
4 Zn 0.5000 0.7500 0.7500  2 Zn 2.67, 2 Re 2.70, 4 Mo 2.76

Results
- crystal system = monoclinic
- spin magnetization (μB per formula unit) = 0.0
- energy of formation from the pure elements (eV/atom) = 0.1384
- energy (eV for the cell shown) = -34.83

***

The following is a DFT calculation (PBE-GGA) of a geometry-optimized YZr2B2 structure.

Cell: 3.9383 3.9383 6.1250 Å, 71.25 71.25 90.00°
With the nearest neighbours (Å) after each atom.
Positions (direct):
1 Y 0.0000 0.0000 0.0000  8 B 2.91
2 B 0.4222 0.4222 0.1557  1 B 1.70
3 B 0.5778 0.5778 0.8443  1 B 1.70
4 Zr 0.7500 0.2500 0.5000  4 B 2.72, 4 Zr 2.78
5 Zr 0.2500 0.7500 0.5000  4 B 2.72, 4 Zr 2.78

Results
- crystal system = tetragonal
- spin magnetization (μB per formula unit) = 0.0
- energy of formation from the pure elements (eV/atom) = -0.1363
- energy (eV for the cell shown) = -37.60
- polymorph energy (0 for the lowest one) (meV/atom) = 119

***

The following is a DFT calculation (PBE-GGA) of a geometry-optimized Gd2PdRu structure.

Cell: 4.9260 4.9260 4.9260 Å, 60.00 60.00 60.00°
With the nearest neighbours (Å) after each atom.
Positions (direct):
1 Ru 0.5000 0.5000 0.5000  8 Gd 3.02
2 Gd 0.2500 0.2500 0.2500  4 Pd 3.02, 4 Ru 3.02
3 Gd 0.7500 0.7500 0.7500  4 Ru 3.02, 4 Pd 3.02
4 Pd 0.0000 0.0000 0.0000  8 Gd 3.02

Results
- crystal system = cubic
- spin magnetization (μB per formula unit) = 14.2
- energy of formation from the pure elements (eV/atom) = -0.5722
- energy (eV for the cell shown) = -44.92

***

The following is a DFT calculation (PBE-GGA) of a geometry-optimized Re2SeBr structure.

Cell: 6.6102 5.9208 2.7288 Å, 62.65 114.22 130.75°
With the nearest neighbours (Å) after each atom.
Positions (direct):
1 Br 0.5000 0.5000 0.0000  4 Re 2.63, 2 Br 2.73
2 Re 0.0000 0.0000 0.0000  2 Se 2.63, 2 Br 2.63, 2 Re 2.73
3 Re 0.5000 0.0000 0.5000  2 Br 2.63, 2 Se 2.63, 2 Re 2.73
4 Se 0.0000 0.5000 0.5000  4 Re 2.63, 2 Se 2.73

Results
- crystal system = monoclinic
- spin magnetization (μB per formula unit) = 0.0
- energy (eV for the cell shown) = -25.07
- polymorph energy (0 for the lowest one) (meV/atom) = 1060

***

The following is a DFT calculation (PBE-GGA) of a geometry-optimized Pr8GaPd2 structure.

Cell: 5.8758 8.1746 8.1746 Å, 115.03 98.33 98.33°
With the nearest neighbours (Å) after each atom.
Positions (direct):
1 Pr 0.5860 0.3324 0.0847  2 Pd 2.94-3.05
2 Pr 0.5860 0.0847 0.3324  2 Pd 2.94-3.05
3 Pr 0.1842 0.3842 0.3842  1 Ga 3.20, 2 Pd 3.26, 3 Pr 3.51-3.58
4 Pr 0.9909 0.2283 0.7669  2 Pd 3.09-3.13, 1 Ga 3.24
5 Pr 0.9909 0.7669 0.2283  2 Pd 3.09-3.13, 1 Ga 3.24
6 Pr 0.8120 0.6369 0.6369  1 Ga 3.24, 2 Pd 3.29, 1 Pr 3.51
7 Pr 0.3792 0.9187 0.6667  2 Pd 2.96-3.05
8 Pr 0.3792 0.6667 0.9187  2 Pd 2.96-3.05
9 Pd 0.4969 0.6978 0.3087  8 Pr 2.94-3.29
10 Pd 0.4969 0.3087 0.6978  8 Pr 2.94-3.29
11 Ga 0.0977 0.0085 0.0085  8 Pr 3.20-3.39

Results
- crystal system = monoclinic
- spin magnetization (μB per formula unit) = 0.0
- energy of formation from the pure elements (eV/atom) = -0.2574
- energy (eV for the cell shown) = -54.48
- polymorph energy (0 for the lowest one) (meV/atom) = 99

***

The following is a DFT calculation (PBE-GGA) of a geometry-optimized CaPrHo2Au4 structure.

Cell: 5.1262 5.1262 8.9506 Å, 73.36 73.36 60.00°
With the nearest neighbours (Å) after each atom.
Positions (direct):
1 Ca 0.5000 0.5000 0.5000  8 Au 3.13-3.15
2 Pr 0.0000 0.0000 0.0000  8 Au 3.14-3.15
3 Ho 0.7532 0.7532 0.7405  8 Au 3.11-3.28
4 Ho 0.2468 0.2468 0.2595  8 Au 3.11-3.28
5 Au 0.3763 0.3763 0.8710  1 Ca 3.13, 3 Pr 3.15, 4 Ho 3.16-3.28
6 Au 0.8761 0.8761 0.3716  4 Ho 3.11-3.12, 1 Pr 3.14, 3 Ca 3.15
7 Au 0.1239 0.1239 0.6284  4 Ho 3.11-3.12, 1 Pr 3.14, 3 Ca 3.15
8 Au 0.6237 0.6237 0.1290  1 Ca 3.13, 3 Pr 3.15, 4 Ho 3.16-3.28

Results
- crystal system = trigonal
- spin magnetization (μB per formula unit) = 0.0
- energy of formation from the pure elements (eV/atom) = -0.8030
- energy (eV for the cell shown) = -35.47

***

The following is a DFT calculation (PBE-GGA) of a geometry-optimized CaScSe2N structure.

Cell: 5.2695 5.2695 4.1623 Å, 90.00 90.00 90.00°
With the nearest neighbours (Å) after each atom.
Positions (direct):
1 Sc 0.0000 0.0000 0.0000  2 N 2.08
2 Ca 0.5000 0.5000 0.5000  8 Se 3.36, 4 N 3.73
3 Se 0.0000 0.5000 0.0000  2 Sc 2.63
4 Se 0.5000 0.0000 0.0000  2 Sc 2.63
5 N 0.0000 0.0000 0.5000  2 Sc 2.08

Results
- crystal system = tetragonal
- spin magnetization (μB per formula unit) = 1.9
- energy (eV for the cell shown) = -27.78
- polymorph energy (0 for the lowest one) (meV/atom) = 0

***

The following is a DFT calculation (PBE-GGA) of a geometry-optimized Sm5As4S structure.

Cell: 5.9114 7.2369 7.2369 Å, 80.40 65.89 65.89°
With the nearest neighbours (Å) after each atom.
Positions (direct):
1 Sm 0.9006 0.3998 0.8009  1 S 2.95, 5 As 2.95-2.97
2 Sm 0.3005 0.8009 0.6002  1 S 2.95, 5 As 2.95-2.97
3 Sm 0.7016 0.1991 0.3998  1 S 2.95, 5 As 2.95-2.97
4 Sm 0.1014 0.6002 0.1991  1 S 2.95, 5 As 2.95-2.97
5 Sm 0.5012 0.0000 0.0000  4 As 2.94, 2 S 2.96
6 As 0.4019 0.3981 0.8001  6 Sm 2.94-2.97
7 As 0.8000 0.8001 0.6019  6 Sm 2.94-2.97
8 As 0.2020 0.1999 0.3981  6 Sm 2.94-2.97
9 As 0.6001 0.6019 0.1999  6 Sm 2.94-2.97
10 S 0.0011 0.0000 0.0000  6 Sm 2.95-2.96

Results
- crystal system = tetragonal
- spin magnetization (μB per formula unit) = 0.0
- energy (eV for the cell shown) = -62.92
- polymorph energy (0 for the lowest one) (meV/atom) = 0

***

The following is a DFT calculation (PBE-GGA) of a geometry-optimized BaOsW2 structure.

Cell: 5.1864 5.1864 6.1320 Å, 78.36 78.36 35.99°
With the nearest neighbours (Å) after each atom.
Positions (direct):
1 Os 0.2500 0.2500 0.2500  4 W 2.60
2 Ba 0.7500 0.7500 0.7500  2 Ba 3.20, 2 W 3.38, 4 Os 3.46
3 W 0.9593 0.9593 0.1213  2 W 2.50, 2 Os 2.60
4 W 0.5407 0.5407 0.3787  2 W 2.50, 2 Os 2.60

Results
- crystal system = monoclinic
- spin magnetization (μB per formula unit) = 0.0
- energy of formation from the pure elements (eV/atom) = 0.9224
- energy (eV for the cell shown) = -35.37
- polymorph energy (0 for the lowest one) (meV/atom) = 129

***

Repeat the seventh record exactly.
The following is a DFT calculation (PBE-GGA) of a geometry-optimized Re2SeBr structure.

Cell: 6.6102 5.9208 2.7288 Å, 62.65 114.22 130.75°
With the nearest neighbours (Å) after each atom.
Positions (direct):
1 Br 0.5000 0.5000 0.0000  4 Re 2.63, 2 Br 2.73
2 Re 0.0000 0.0000 0.0000  2 Se 2.63, 2 Br 2.63, 2 Re 2.73
3 Re 0.5000 0.0000 0.5000  2 Br 2.63, 2 Se 2.63, 2 Re 2.73
4 Se 0.0000 0.5000 0.5000  4 Re 2.63, 2 Se 2.73

Results
- crystal system = monoclinic
- spin magnetization (μB per formula unit) = 0.0
- energy (eV for the cell shown) = -25.07
- polymorph energy (0 for the lowest one) (meV/atom) = 1060